(1)
# Hg2PtRh2 | Alexandria via LeMat-Bulk | PBE | optimized geometry
data_Hg2PtRh2
_cell_length_a 6.6852
_cell_length_b 6.6852
_cell_length_c 4.1287
_cell_angle_alpha 90.00
_cell_angle_beta 90.00
_cell_angle_gamma 90.00
_symmetry_space_group_name_H-M 'P 4/m b m'
_symmetry_Int_Tables_number 127
_symmetry_space_group_name_Hall '-P 4 2ab'
loop_
_atom_site_label
_atom_site_type_symbol
_atom_site_fract_x
_atom_site_fract_y
_atom_site_fract_z
Hg1 Hg 0.1718 0.3282 0.0000
Pt1 Pt 0.0000 0.0000 0.5000
Rh1 Rh 0.1318 0.6318 0.5000
# Calculated volume: 18.5 Å³/atom


(2)
# HgPtRh2 | Alexandria via LeMat-Bulk | PBE | optimized geometry
data_HgPtRh2
_cell_length_a 3.9986
_cell_length_b 3.9986
_cell_length_c 8.0345
_cell_angle_alpha 90.00
_cell_angle_beta 90.00
_cell_angle_gamma 90.00
_symmetry_space_group_name_H-M 'I -4 m 2'
_symmetry_Int_Tables_number 119
_symmetry_space_group_name_Hall 'I -4 -2'
loop_
_atom_site_label
_atom_site_type_symbol
_atom_site_fract_x
_atom_site_fract_y
_atom_site_fract_z
Hg1 Hg 0.0000 0.0000 0.0000
Pt1 Pt 0.0000 0.5000 0.2500
Rh1 Rh 0.0000 0.0000 0.5000
Rh2 Rh 0.0000 0.5000 0.7500
# Calculated volume: 16.1 Å³/atom


(3)
# Hg3PtRh | Alexandria via LeMat-Bulk | PBE | optimized geometry
data_Hg3PtRh
_cell_length_a 5.1079
_cell_length_b 5.1079
_cell_length_c 5.1079
_cell_angle_alpha 90.00
_cell_angle_beta 90.00
_cell_angle_gamma 90.00
_symmetry_space_group_name_H-M 'P m -3 m'
_symmetry_Int_Tables_number 221
_symmetry_space_group_name_Hall '-P 4 2 3'
loop_
_atom_site_label
_atom_site_type_symbol
_atom_site_fract_x
_atom_site_fract_y
_atom_site_fract_z
Hg1 Hg 0.0000 0.0000 0.5000
Pt1 Pt 0.5000 0.5000 0.5000
Rh1 Rh 0.0000 0.0000 0.0000
# Distance to the lowest polymorph of the same formula: 0.44 eV/f.u.
# Calculated volume: 26.7 Å³/atom


(4)
# HgPt3Rh | Alexandria via LeMat-Bulk | PBE | optimized geometry
data_HgPt3Rh
_cell_length_a 4.9650
_cell_length_b 4.9650
_cell_length_c 4.9650
_cell_angle_alpha 90.00
_cell_angle_beta 90.00
_cell_angle_gamma 90.00
_symmetry_space_group_name_H-M 'P m -3 m'
_symmetry_Int_Tables_number 221
_symmetry_space_group_name_Hall '-P 4 2 3'
loop_
_atom_site_label
_atom_site_type_symbol
_atom_site_fract_x
_atom_site_fract_y
_atom_site_fract_z
Hg1 Hg 0.0000 0.0000 0.0000
Pt1 Pt 0.0000 0.0000 0.5000
Rh1 Rh 0.5000 0.5000 0.5000
# Distance to the lowest polymorph of the same formula: 3.31 eV/f.u.
# Calculated volume: 24.5 Å³/atom


Number 1: mass density 14.4 g cm⁻³, M_tot 0.00 μB/cell, final energy -40.114 eV for the cell shown. Number 2: mass density 15.6 g cm⁻³, M_tot 0.01 μB/cell, final energy -41.083 eV for the cell shown. Number 3: mass density 11.2 g cm⁻³, M_tot 0.00 μB/cell, final energy -10.095 eV for the cell shown. Number 4: mass density 12.1 g cm⁻³, M_tot 2.22 μB/cell, final energy -16.514 eV for the cell shown.